(1)
DFT (PBE) results for crystalline HgTe4As at its relaxed geometry.

Structure (POSCAR):
```
HgTe4As
1.0
0.000 4.475 4.475
4.475 0.000 4.475
4.475 4.475 0.000
As Te Hg
1 4 1
direct
0.750 0.750 0.750
0.377 0.870 0.377
0.377 0.377 0.377
0.870 0.377 0.377
0.377 0.377 0.870
0.000 0.000 0.000
```

Summary:
raw total energy = -2.3470 eV/atom

(2)
DFT (PBE) results for crystalline ReGe at its relaxed geometry.

Structure (POSCAR):
```
ReGe
1.0
2.969 0.000 0.000
0.000 6.605 0.000
0.000 0.000 10.395
Ge Re
6 6
direct
0.500 0.961 0.500
0.000 0.588 0.355
0.000 0.039 0.000
0.500 0.412 0.145
0.500 0.412 0.855
0.000 0.588 0.645
0.000 0.280 0.500
0.000 0.163 0.731
0.500 0.837 0.231
0.500 0.720 0.000
0.000 0.163 0.269
0.500 0.837 0.769
```

Summary:
raw total energy = -8.1522 eV/atom
energy relative to the elements = 36.72 kJ per mole of atoms

(3)
DFT (PBE) results for crystalline Be2CoAu at its relaxed geometry.

Structure (POSCAR):
```
Be2CoAu
1.0
-6.303 -3.588 1.929
-6.548 -3.579 -0.788
-5.070 -5.515 0.442
Be Au Co
2 1 1
direct
0.509 0.509 0.509
0.991 0.991 0.991
0.750 0.750 0.750
0.250 0.250 0.250
```

Summary:
raw total energy = -4.3416 eV/atom
energy relative to the elements = 11.31 kJ per mole of atoms

(4)
DFT (PBE) results for crystalline Sr3CaRh at its relaxed geometry.

Structure (POSCAR):
```
Sr3CaRh
1.0
25.783 0.000 0.751
9.548 2.152 -3.350
-9.548 2.152 3.350
Ca Sr Rh
2 6 2
direct
0.183 0.520 0.480
0.817 0.480 0.520
0.119 0.270 0.730
0.704 0.265 0.735
0.493 0.342 0.658
0.881 0.730 0.270
0.507 0.658 0.342
0.296 0.735 0.265
0.462 0.111 0.889
0.538 0.889 0.111
```

Summary:
raw total energy = -3.0114 eV/atom
energy relative to the elements = -12.71 kJ per mole of atoms
offset from the most stable computed form = 0.068 eV/atom

(5)
DFT (PBE) results for crystalline Pr6GeSb4 at its relaxed geometry.

Structure (POSCAR):
```
Pr6GeSb4
1.0
8.952 -0.014 -0.062
0.061 8.951 -0.062
0.014 0.014 8.952
Ge Pr Sb
2 12 8
direct
0.500 0.500 0.500
0.000 0.000 0.000
0.306 0.941 0.924
0.076 0.306 0.059
0.559 0.194 0.576
0.924 0.694 0.941
0.424 0.559 0.806
0.694 0.059 0.076
0.059 0.924 0.306
0.576 0.441 0.194
0.194 0.424 0.441
0.941 0.076 0.694
0.441 0.806 0.424
0.806 0.576 0.559
0.250 0.630 0.130
0.370 0.130 0.250
0.750 0.750 0.250
0.630 0.870 0.750
0.130 0.750 0.630
0.250 0.250 0.750
0.750 0.370 0.870
0.870 0.250 0.370
```

Summary:
raw total energy = -5.4652 eV/atom

(6)
DFT (PBE) results for crystalline Cs2RbBeP at its relaxed geometry.

Structure (POSCAR):
```
Cs2RbBeP
1.0
7.748 0.000 0.000
0.000 4.032 0.000
0.000 0.000 7.748
Cs Rb Be P
2 1 1 1
direct
0.500 0.000 0.000
0.000 0.000 0.500
0.500 0.500 0.500
0.000 0.000 0.000
0.000 0.500 0.000
```

Summary:
raw total energy = -2.2415 eV/atom
energy relative to the elements = 11.64 kJ per mole of atoms

(7)
DFT (PBE) results for crystalline Ce2HfS5 at its relaxed geometry.

Structure (POSCAR):
```
Ce2HfS5
1.0
-3.804 3.249 -1.697
-2.779 -5.599 3.735
0.945 6.792 10.886
S Ce Hf
10 4 2
direct
0.725 0.451 0.250
0.050 0.099 0.376
0.275 0.549 0.750
0.302 0.604 0.411
0.302 0.604 0.089
0.950 0.901 0.624
0.698 0.396 0.589
0.050 0.099 0.124
0.950 0.901 0.876
0.698 0.396 0.911
0.145 0.291 0.935
0.855 0.709 0.435
0.855 0.709 0.065
0.145 0.291 0.565
0.812 0.624 0.750
0.188 0.376 0.250
```

Summary:
raw total energy = -7.0477 eV/atom
offset from the most stable computed form = 0.126 eV/atom

(8)
DFT (PBE) results for crystalline BaFeRe2 at its relaxed geometry.

Structure (POSCAR):
```
BaFeRe2
1.0
-0.481 -2.878 1.086
3.961 0.147 2.141
-2.431 2.050 4.356
Re Fe Ba
2 1 1
direct
0.500 0.500 0.000
0.000 0.000 0.000
0.000 0.500 0.500
0.500 0.000 0.500
```

Summary:
raw total energy = -7.4449 eV/atom
energy relative to the elements = 132.71 kJ per mole of atoms
offset from the most stable computed form = 0.831 eV/atom

Number 8 is which compound?
BaFeRe2